Record 1
Compound: Ti2Zn2Ir
Source: Alexandria
Functional: PBE-GGA
Structure: optimized geometry

Calculated values
Offset from the most stable computed form in meV per atom: 0
DFT formation energy in meV per atom: -399.6
Size of the total moment in μB per cell: 1.2

Cell: 2.866 4.044 6.863 Å, 72.87 90.00 90.00°
Site moments in Bohr magnetons follow the coordinates.
Fractional coordinates of all 5 atoms:
Ti 0.500 0.400 0.200  0.52
Ti 0.500 0.600 0.800  0.52
Zn 0.000 0.800 0.399  0.01
Zn 0.000 0.200 0.601  0.01
Ir 0.000 0.000 0.000  -0.04

---

Record 2
Compound: Zr2Ti5ZnIr2
Source: Alexandria
Functional: PBE-GGA
Structure: optimized geometry

Calculated values
DFT formation energy in meV per atom: -386.9
Size of the total moment in μB per cell: 0.0

Cell: 3.232 10.590 10.590 Å, 90.00 90.00 90.00°
Fractional coordinates of all 20 atoms:
Ti 0.500 0.000 0.500
Ti 0.500 0.801 0.948
Ti 0.500 0.301 0.552
Ti 0.500 0.500 0.000
Ti 0.500 0.448 0.301
Ti 0.500 0.199 0.052
Ti 0.500 0.052 0.801
Ti 0.500 0.948 0.199
Ti 0.500 0.552 0.699
Ti 0.500 0.699 0.448
Ir 0.000 0.368 0.132
Ir 0.000 0.868 0.368
Ir 0.000 0.632 0.868
Ir 0.000 0.132 0.632
Zr 0.000 0.177 0.323
Zr 0.000 0.823 0.677
Zr 0.000 0.677 0.177
Zr 0.000 0.323 0.823
Zn 0.000 0.000 0.000
Zn 0.000 0.500 0.500

---

Record 3
Compound: ZrTi2Ir2
Source: Alexandria
Functional: PBE-GGA
Structure: optimized geometry

Calculated values
Offset from the most stable computed form in meV per atom: 0
DFT formation energy in meV per atom: -662.1
Size of the total moment in μB per cell: 0.0

Cell: 7.640 7.640 2.861 Å, 90.00 90.00 90.00°
Fractional coordinates of all 10 atoms:
Ir 0.153 0.653 0.500
Ir 0.653 0.847 0.500
Ir 0.347 0.153 0.500
Ir 0.847 0.347 0.500
Ti 0.144 0.356 0.000
Ti 0.856 0.644 0.000
Ti 0.644 0.144 0.000
Ti 0.356 0.856 0.000
Zr 0.000 0.000 0.000
Zr 0.500 0.500 0.000

---

Record 4
Compound: Zr2TiIr
Source: Alexandria
Functional: PBE-GGA
Structure: optimized geometry

Calculated values
DFT formation energy in meV per atom: -426.8
Size of the total moment in μB per cell: 1.5

Cell: 3.398 4.690 4.690 Å, 90.00 90.00 90.00°
Site moments in Bohr magnetons follow the coordinates.
Fractional coordinates of all 4 atoms:
Ti 0.500 0.000 0.000  0.80
Zr 0.000 0.500 0.000  0.20
Zr 0.000 0.000 0.500  0.20
Ir 0.500 0.500 0.500  -0.03

---

Record 5
Compound: Zr2TiIr2
Source: Alexandria
Functional: PBE-GGA
Structure: optimized geometry

Calculated values
Offset from the most stable computed form in meV per atom: 64
DFT formation energy in meV per atom: -679.3
Size of the total moment in μB per cell: 0.0

Cell: 6.589 6.589 4.344 Å, 90.00 90.00 90.00°
Fractional coordinates of all 10 atoms:
Zr 0.325 0.175 0.500
Zr 0.675 0.825 0.500
Zr 0.825 0.325 0.500
Zr 0.175 0.675 0.500
Ir 0.358 0.858 0.000
Ir 0.858 0.642 0.000
Ir 0.142 0.358 0.000
Ir 0.642 0.142 0.000
Ti 0.500 0.500 0.000
Ti 0.000 0.000 0.000

---

Record 6
Compound: Zr2Ti2Ir
Source: Alexandria
Functional: PBE-GGA
Structure: optimized geometry

Calculated values
Offset from the most stable computed form in meV per atom: 108
DFT formation energy in meV per atom: -168.6
Size of the total moment in μB per cell: 0.0

Cell: 5.360 6.158 7.301 Å, 114.94 111.40 90.00°
Fractional coordinates of all 10 atoms:
Ti 0.828 0.466 0.655
Ti 0.672 0.812 0.345
Ti 0.172 0.534 0.345
Ti 0.328 0.188 0.655
Ir 0.250 0.499 0.000
Ir 0.750 0.501 0.000
Zr 0.908 0.055 0.817
Zr 0.592 0.237 0.183
Zr 0.092 0.945 0.183
Zr 0.408 0.763 0.817

---

Record 7
Compound: Zr2TiIr
Source: Alexandria
Functional: PBE-GGA
Structure: optimized geometry

Calculated values
DFT formation energy in meV per atom: -410.0
Size of the total moment in μB per cell: 0.0

Cell: 3.334 3.334 6.868 Å, 90.00 90.00 90.00°
Fractional coordinates of all 4 atoms:
Zr 0.000 0.000 0.235
Zr 0.000 0.000 0.765
Ir 0.500 0.500 0.000
Ti 0.500 0.500 0.500

---

Record 8
Compound: ZrTi2Ir2
Source: Alexandria
Functional: PBE-GGA
Structure: optimized geometry

Calculated values
Offset from the most stable computed form in meV per atom: 27
DFT formation energy in meV per atom: -635.3
Size of the total moment in μB per cell: 0.0

Cell: 4.158 4.158 6.092 Å, 70.05 70.05 90.00°
Fractional coordinates of all 5 atoms:
Ti 0.750 0.250 0.500
Ti 0.250 0.750 0.500
Ir 0.383 0.383 0.235
Ir 0.617 0.617 0.765
Zr 0.000 0.000 0.000